# 1
Below is a relaxed Sb2PW crystal, with properties calculated at the PBE level.

The symmetry is R-3m. For the total magnetic moment, the calculation gives 0.00 Bohr magnetons per cell. Its uncorrected formation energy is 2.24 eV per formula unit. As for the theoretical density: 9.38 g/cm³. The value obtained for the total energy is -6.093 eV per atom.

a = 8.114 Å, b = 8.114 Å, c = 8.114 Å
α = 24.56°, β = 24.56°, γ = 24.56°
Positions (direct):
Sb 0.750 0.750 0.750
Sb 0.250 0.250 0.250
P 0.000 0.000 0.000
W 0.500 0.500 0.500

# 2
Below is a relaxed Sb2PW crystal, with properties calculated at the PBE level.

The symmetry is Cm. For the total magnetic moment, the calculation gives 0.00 Bohr magnetons per cell. Its uncorrected formation energy is 0.48 eV per formula unit. As for the theoretical density: 8.34 g/cm³. The value obtained for the total energy is -6.532 eV per atom.

a = 4.411 Å, b = 4.411 Å, c = 6.655 Å
α = 82.39°, β = 82.39°, γ = 45.44°
Positions (direct):
Sb 0.012 0.012 0.068
Sb 0.775 0.775 0.681
P 0.212 0.212 0.343
W 0.501 0.501 0.408

# 3
Below is a relaxed SbP2W crystal, with properties calculated at the PBE level.

The symmetry is P4/mmm. For the total magnetic moment, the calculation gives 0.00 Bohr magnetons per cell. Its uncorrected formation energy is 0.21 eV per formula unit. As for the theoretical density: 8.87 g/cm³. The value obtained for the total energy is -6.923 eV per atom.

a = 3.144 Å, b = 3.144 Å, c = 6.956 Å
α = 90.00°, β = 90.00°, γ = 90.00°
Positions (direct):
P 0.000 0.000 0.939
P 0.000 0.000 0.561
Sb 0.500 0.500 0.250
W 0.500 0.500 0.750